# Rb3Sr2PaO6

A relaxed Rb3Sr2PaO6 crystal (PBE, Alexandria via LeMat-Bulk). Values from VASP.

Geometry as Quantum ESPRESSO input:
```
&SYSTEM
  ibrav = 0, nat = 12, ntyp = 4
/
ATOMIC_SPECIES
Rb 85.47 Rb.upf
Sr 87.62 Sr.upf
Pa 231.04 Pa.upf
O 16.00 O.upf
ATOMIC_POSITIONS crystal
Rb 0.000 0.000 0.000
Rb 0.331 0.669 0.000
Rb 0.669 0.331 0.000
Sr 0.167 0.833 0.500
Sr 0.833 0.167 0.500
Pa 0.500 0.500 0.500
O 0.147 0.439 0.318
O 0.270 0.270 0.684
O 0.439 0.147 0.318
O 0.561 0.853 0.682
O 0.730 0.730 0.316
O 0.853 0.561 0.682
CELL_PARAMETERS angstrom
3.210 -5.553 0.000
3.210 5.553 0.000
-2.141 0.000 6.567
```

Final energy = -6.36 eV per atom
Raw formation energy = -30.79 eV per formula unit
Space-group type = No. 12

***

# Pr3NdTh4S8

A relaxed Pr3NdTh4S8 crystal (PBE, Alexandria via LeMat-Bulk). Values from VASP.

Geometry as Quantum ESPRESSO input:
```
&SYSTEM
  ibrav = 0, nat = 16, ntyp = 4
/
ATOMIC_SPECIES
Pr 140.91 Pr.upf
Nd 144.24 Nd.upf
Th 232.04 Th.upf
S 32.06 S.upf
ATOMIC_POSITIONS crystal
Pr 0.000 0.500 0.500
Pr 0.500 0.000 0.500
Pr 0.500 0.500 0.000
Nd 0.000 0.000 0.000
Th 0.000 0.000 0.500
Th 0.000 0.500 0.000
Th 0.500 0.000 0.000
Th 0.500 0.500 0.500
S 0.248 0.750 0.750
S 0.249 0.249 0.249
S 0.250 0.250 0.752
S 0.250 0.752 0.250
S 0.750 0.248 0.750
S 0.750 0.750 0.248
S 0.751 0.751 0.751
S 0.752 0.250 0.250
CELL_PARAMETERS angstrom
4.042 2.333 6.721
-4.042 2.333 6.721
0.000 -4.667 6.721
```

Final energy = -7.04 eV per atom
Raw formation energy = -30.82 eV per formula unit
Space-group type = No. 166

***

# Be3Pt

A relaxed Be3Pt crystal (PBE, Alexandria via LeMat-Bulk). Values from VASP.

Geometry as Quantum ESPRESSO input:
```
&SYSTEM
  ibrav = 0, nat = 16, ntyp = 2
/
ATOMIC_SPECIES
Be 9.01 Be.upf
Pt 195.08 Pt.upf
ATOMIC_POSITIONS crystal
Be 0.027 0.250 0.158
Be 0.184 0.033 0.577
Be 0.184 0.467 0.577
Be 0.316 0.533 0.077
Be 0.316 0.967 0.077
Be 0.473 0.750 0.658
Be 0.527 0.250 0.342
Be 0.684 0.033 0.923
Be 0.684 0.467 0.923
Be 0.816 0.533 0.423
Be 0.816 0.967 0.423
Be 0.973 0.750 0.842
Pt 0.130 0.750 0.362
Pt 0.370 0.250 0.862
Pt 0.630 0.750 0.138
Pt 0.870 0.250 0.638
CELL_PARAMETERS angstrom
5.371 0.000 0.000
0.000 7.483 0.000
0.000 0.000 4.462
```

Formation enthalpy at 0 K = -0.299 eV/atom
Final energy = -4.60 eV per atom
Space-group type = No. 62

***

# Y2IrBr

A relaxed Y2IrBr crystal (PBE, Alexandria via LeMat-Bulk). Values from VASP.

Geometry as Quantum ESPRESSO input:
```
&SYSTEM
  ibrav = 0, nat = 16, ntyp = 3
/
ATOMIC_SPECIES
Y 88.91 Y.upf
Ir 192.22 Ir.upf
Br 79.90 Br.upf
ATOMIC_POSITIONS crystal
Y 0.000 0.000 0.000
Y 0.000 0.500 0.500
Y 0.250 0.250 0.250
Y 0.250 0.750 0.750
Y 0.500 0.000 0.500
Y 0.500 0.500 0.000
Y 0.750 0.250 0.750
Y 0.750 0.750 0.250
Ir 0.250 0.250 0.750
Ir 0.250 0.750 0.250
Ir 0.750 0.250 0.250
Ir 0.750 0.750 0.750
Br 0.000 0.000 0.500
Br 0.000 0.500 0.000
Br 0.500 0.000 0.000
Br 0.500 0.500 0.500
CELL_PARAMETERS angstrom
7.107 0.000 0.000
0.000 7.107 0.000
0.000 0.000 7.107
```

Final energy = -5.76 eV per atom
Raw formation energy = 0.40 eV per formula unit
ΔE to the lowest computed polymorph = 114.41 kJ/mol of atoms
Space-group type = No. 216

***

# LaSnHgSb

A relaxed LaSnHgSb crystal (PBE, Alexandria via LeMat-Bulk). Values from VASP.

Geometry as Quantum ESPRESSO input:
```
&SYSTEM
  ibrav = 0, nat = 16, ntyp = 4
/
ATOMIC_SPECIES
La 138.91 La.upf
Sn 118.71 Sn.upf
Hg 200.59 Hg.upf
Sb 121.76 Sb.upf
ATOMIC_POSITIONS crystal
La 0.000 0.000 0.000
La 0.000 0.500 0.500
La 0.500 0.000 0.500
La 0.500 0.500 0.000
Sn 0.000 0.000 0.500
Sn 0.000 0.500 0.000
Sn 0.500 0.000 0.000
Sn 0.500 0.500 0.500
Hg 0.250 0.250 0.250
Hg 0.250 0.750 0.750
Hg 0.750 0.250 0.750
Hg 0.750 0.750 0.250
Sb 0.250 0.250 0.750
Sb 0.250 0.750 0.250
Sb 0.750 0.250 0.250
Sb 0.750 0.750 0.750
CELL_PARAMETERS angstrom
7.711 0.000 0.000
0.000 7.711 0.000
0.000 0.000 7.711
```

Final energy = -3.78 eV per atom
Raw formation energy = -1.78 eV per formula unit
ΔE to the lowest computed polymorph = 13.99 kJ/mol of atoms
Space-group type = No. 216

***

# TbEr12Al3

A relaxed TbEr12Al3 crystal (PBE, Alexandria via LeMat-Bulk). Values from VASP.

Geometry as Quantum ESPRESSO input:
```
&SYSTEM
  ibrav = 0, nat = 16, ntyp = 3
/
ATOMIC_SPECIES
Tb 158.93 Tb.upf
Er 167.26 Er.upf
Al 26.98 Al.upf
ATOMIC_POSITIONS crystal
Tb 0.000 0.000 0.000
Er 0.000 0.500 0.135
Er 0.000 0.500 0.378
Er 0.000 0.500 0.622
Er 0.000 0.500 0.865
Er 0.500 0.000 0.135
Er 0.500 0.000 0.378
Er 0.500 0.000 0.622
Er 0.500 0.000 0.865
Er 0.500 0.500 0.000
Er 0.500 0.500 0.258
Er 0.500 0.500 0.500
Er 0.500 0.500 0.742
Al 0.000 0.000 0.258
Al 0.000 0.000 0.500
Al 0.000 0.000 0.742
CELL_PARAMETERS angstrom
4.754 0.000 0.000
0.000 4.754 0.000
0.000 0.000 19.354
```

Formation enthalpy at 0 K = -0.130 eV/atom
Final energy = -4.54 eV per atom
Space-group type = No. 123

***

# TlCd4In7

A relaxed TlCd4In7 crystal (PBE, Alexandria via LeMat-Bulk). Values from VASP.

Geometry as Quantum ESPRESSO input:
```
&SYSTEM
  ibrav = 0, nat = 12, ntyp = 3
/
ATOMIC_SPECIES
Tl 204.38 Tl.upf
Cd 112.41 Cd.upf
In 114.82 In.upf
ATOMIC_POSITIONS crystal
Tl 0.000 0.000 0.000
Cd 0.333 0.667 0.171
Cd 0.333 0.667 0.419
Cd 0.667 0.333 0.581
Cd 0.667 0.333 0.829
In 0.000 0.000 0.253
In 0.000 0.000 0.500
In 0.000 0.000 0.747
In 0.333 0.667 0.663
In 0.333 0.667 0.910
In 0.667 0.333 0.090
In 0.667 0.333 0.337
CELL_PARAMETERS angstrom
3.324 0.000 0.000
-1.662 2.878 0.000
0.000 0.000 32.571
```

Formation enthalpy at 0 K = 0.031 eV/atom
Final energy = -2.07 eV per atom
Space-group type = No. 164

***

# BaHgTe2

A relaxed BaHgTe2 crystal (PBE, Alexandria via LeMat-Bulk). Values from VASP.

Geometry as Quantum ESPRESSO input:
```
&SYSTEM
  ibrav = 0, nat = 16, ntyp = 3
/
ATOMIC_SPECIES
Ba 137.33 Ba.upf
Hg 200.59 Hg.upf
Te 127.60 Te.upf
ATOMIC_POSITIONS crystal
Ba 0.145 0.243 0.125
Ba 0.145 0.757 0.625
Ba 0.855 0.243 0.375
Ba 0.855 0.757 0.875
Hg 0.256 0.372 0.881
Hg 0.256 0.628 0.381
Hg 0.744 0.372 0.619
Hg 0.744 0.628 0.119
Te 0.168 0.263 0.657
Te 0.168 0.737 0.157
Te 0.384 0.234 0.409
Te 0.384 0.766 0.909
Te 0.616 0.234 0.091
Te 0.616 0.766 0.591
Te 0.832 0.263 0.843
Te 0.832 0.737 0.343
CELL_PARAMETERS angstrom
7.123 0.000 0.000
0.000 7.096 0.000
-7.109 0.000 12.286
```

Final energy = -2.99 eV per atom
Raw formation energy = -3.47 eV per formula unit
Space-group type = No. 13